DFT (PBE-GGA) results for a relaxed structure of ReAsSe3.

Properties
Magnetic moment (μB/atom): 0.824
DOS(E_F) (states/eV/atom): 0.689
Formation energy without anion corrections (eV per atom): 1.38
Crystal system: cubic
Total energy (eV per formula unit): -20.65

The structure in CIF format:
```
data_ReAsSe3
_chemical_formula_sum 'Re1 As1 Se3'
_space_group_name_H-M_alt 'P m -3 m'
_space_group_IT_number 221
_space_group_name_Hall '-P 4 2 3'
_cell_length_a 4.987
_cell_length_b 4.987
_cell_length_c 4.987
_cell_angle_alpha 90.00
_cell_angle_beta 90.00
_cell_angle_gamma 90.00
loop_
_atom_site_label
_atom_site_fract_x
_atom_site_fract_y
_atom_site_fract_z
_atom_site_occupancy
Re1 0.000 0.000 0.000 1
As1 0.500 0.500 0.500 1
Se1 0.000 0.500 0.500 1
```

DFT (PBE-GGA) results for a relaxed structure of ReAs2Se.

Properties
Magnetic moment (μB/atom): 0.000
DOS(E_F) (states/eV/atom): 0.518
Formation energy without anion corrections (eV per atom): 0.11
Crystal system: monoclinic
Total energy (eV per formula unit): -24.78

The structure in CIF format:
```
data_ReAs2Se
_chemical_formula_sum 'Re2 As4 Se2'
_space_group_name_H-M_alt 'C 1 m 1'
_space_group_IT_number 8
_cell_length_a 8.946
_cell_length_b 3.154
_cell_length_c 5.916
_cell_angle_alpha 90.00
_cell_angle_beta 107.22
_cell_angle_gamma 90.00
loop_
_space_group_symop_operation_xyz
'x,y,z'
'x,-y,z'
'x+1/2,y+1/2,z'
'x+1/2,-y+1/2,z'
loop_
_atom_site_label
_atom_site_fract_x
_atom_site_fract_y
_atom_site_fract_z
_atom_site_occupancy
Re1 0.000 0.000 0.000 1
As1 0.090 0.500 0.374 1
As2 0.222 0.500 0.034 1
Se1 0.382 0.000 0.653 1
```

DFT (PBE-GGA) results for a relaxed structure of ReAs2Se.

Properties
Magnetic moment (μB/atom): 0.000
DOS(E_F) (states/eV/atom): 0.882
Formation energy without anion corrections (eV per atom): 0.46
Crystal system: monoclinic
Total energy (eV per formula unit): -23.40

The structure in CIF format:
```
data_ReAs2Se
_chemical_formula_sum 'Re1 As2 Se1'
_space_group_name_H-M_alt 'P 1 m 1'
_space_group_IT_number 6
_cell_length_a 2.646
_cell_length_b 4.445
_cell_length_c 7.090
_cell_angle_alpha 90.00
_cell_angle_beta 94.11
_cell_angle_gamma 90.00
loop_
_space_group_symop_operation_xyz
'x,y,z'
'x,-y,z'
loop_
_atom_site_label
_atom_site_fract_x
_atom_site_fract_y
_atom_site_fract_z
_atom_site_occupancy
Re1 0.000 0.000 0.000 1
As1 0.050 0.500 0.186 1
As2 0.071 0.000 0.372 1
Se1 0.954 0.500 0.773 1
```

DFT (PBE-GGA) results for a relaxed structure of Re2AsSe.

Properties
Magnetic moment (μB/atom): 0.000
DOS(E_F) (states/eV/atom): 0.685
Formation energy without anion corrections (eV per atom): 0.75
Crystal system: monoclinic
Total energy (eV per formula unit): -30.02

The structure in CIF format:
```
data_Re2AsSe
_chemical_formula_sum 'Re2 As1 Se1'
_space_group_name_H-M_alt 'P 1 2/m 1'
_space_group_IT_number 10
_cell_length_a 2.975
_cell_length_b 3.930
_cell_length_c 6.011
_cell_angle_alpha 90.00
_cell_angle_beta 99.67
_cell_angle_gamma 90.00
loop_
_space_group_symop_operation_xyz
'x,y,z'
'-x,-y,-z'
'-x,y,-z'
'x,-y,z'
loop_
_atom_site_label
_atom_site_fract_x
_atom_site_fract_y
_atom_site_fract_z
_atom_site_occupancy
Re1 0.126 0.000 0.303 1
As1 0.500 0.500 0.500 1
Se1 0.000 0.500 0.000 1
```

DFT (PBE-GGA) results for a relaxed structure of ReAs2Se.

Properties
Magnetic moment (μB/atom): 0.000
DOS(E_F) (states/eV/atom): 0.485
Formation energy without anion corrections (eV per atom): 0.20
Crystal system: monoclinic
Total energy (eV per formula unit): -24.43

The structure in CIF format:
```
data_ReAs2Se
_chemical_formula_sum 'Re1 As2 Se1'
_space_group_name_H-M_alt 'P 1 2/m 1'
_space_group_IT_number 10
_cell_length_a 3.015
_cell_length_b 3.010
_cell_length_c 8.520
_cell_angle_alpha 90.00
_cell_angle_beta 90.56
_cell_angle_gamma 90.00
loop_
_space_group_symop_operation_xyz
'x,y,z'
'-x,-y,-z'
'-x,y,-z'
'x,-y,z'
loop_
_atom_site_label
_atom_site_fract_x
_atom_site_fract_y
_atom_site_fract_z
_atom_site_occupancy
Re1 0.000 0.000 0.000 1
As1 0.495 0.500 0.817 1
Se1 0.000 0.000 0.500 1
```

DFT (PBE-GGA) results for a relaxed structure of ReAs2Se.

Properties
Magnetic moment (μB/atom): 0.000
DOS(E_F) (states/eV/atom): 0.437
Formation energy without anion corrections (eV per atom): 0.29
Crystal system: tetragonal
Total energy (eV per formula unit): -24.06

The structure in CIF format:
```
data_ReAs2Se
_chemical_formula_sum 'Re1 As2 Se1'
_space_group_name_H-M_alt 'P 4 m m'
_space_group_IT_number 99
_cell_length_a 2.978
_cell_length_b 2.978
_cell_length_c 8.772
_cell_angle_alpha 90.00
_cell_angle_beta 90.00
_cell_angle_gamma 90.00
loop_
_space_group_symop_operation_xyz
'x,y,z'
'-y,x,z'
'-x,-y,z'
'y,-x,z'
'-x,y,z'
'y,x,z'
'x,-y,z'
'-y,-x,z'
loop_
_atom_site_label
_atom_site_fract_x
_atom_site_fract_y
_atom_site_fract_z
_atom_site_occupancy
Re1 0.000 0.000 0.000 1
As1 0.000 0.000 0.523 1
As2 0.500 0.500 0.810 1
Se1 0.500 0.500 0.174 1
```

DFT (PBE-GGA) results for a relaxed structure of ReAs3Se.

Properties
Magnetic moment (μB/atom): 0.000
DOS(E_F) (states/eV/atom): 0.752
Formation energy without anion corrections (eV per atom): 0.53
Crystal system: cubic
Total energy (eV per formula unit): -27.25

The structure in CIF format:
```
data_ReAs3Se
_chemical_formula_sum 'Re1 As3 Se1'
_space_group_name_H-M_alt 'P m -3 m'
_space_group_IT_number 221
_space_group_name_Hall '-P 4 2 3'
_cell_length_a 4.816
_cell_length_b 4.816
_cell_length_c 4.816
_cell_angle_alpha 90.00
_cell_angle_beta 90.00
_cell_angle_gamma 90.00
loop_
_atom_site_label
_atom_site_fract_x
_atom_site_fract_y
_atom_site_fract_z
_atom_site_occupancy
Re1 0.000 0.000 0.000 1
As1 0.000 0.000 0.500 1
Se1 0.500 0.500 0.500 1
```

DFT (PBE-GGA) results for a relaxed structure of ReAsSe3.

Properties
Magnetic moment (μB/atom): 0.000
DOS(E_F) (states/eV/atom): 1.476
Formation energy without anion corrections (eV per atom): 0.69
Crystal system: cubic
Total energy (eV per formula unit): -24.09

The structure in CIF format:
```
data_ReAsSe3
_chemical_formula_sum 'Re1 As1 Se3'
_space_group_name_H-M_alt 'P m -3 m'
_space_group_IT_number 221
_space_group_name_Hall '-P 4 2 3'
_cell_length_a 4.859
_cell_length_b 4.859
_cell_length_c 4.859
_cell_angle_alpha 90.00
_cell_angle_beta 90.00
_cell_angle_gamma 90.00
loop_
_atom_site_label
_atom_site_fract_x
_atom_site_fract_y
_atom_site_fract_z
_atom_site_occupancy
Re1 0.000 0.000 0.000 1
As1 0.500 0.500 0.500 1
Se1 0.000 0.000 0.500 1
```